1.
{
  "formula": "Ca2YSb2",
  "functional": "PBE",
  "state": "relaxed",
  "lattice": [[8.357, 0.000, 0.000], [0.000, 8.357, 0.000], [0.000, 0.000, 4.387]],
  "species": ["Ca", "Ca", "Ca", "Ca", "Y", "Y", "Sb", "Sb", "Sb", "Sb"],
  "fractional_positions": [[0.145, 0.355, 0.000], [0.355, 0.855, 0.000], [0.645, 0.145, 0.000], [0.855, 0.645, 0.000], [0.000, 0.000, 0.500], [0.500, 0.500, 0.500], [0.161, 0.661, 0.500], [0.339, 0.161, 0.500], [0.661, 0.839, 0.500], [0.839, 0.339, 0.500]],
  "dos_ef_per_ev_fu": 0.8,
  "final_energy_ev_per_atom": -4.635,
  "polymorph_energy_mev_per_atom": 0,
  "spacegroup": "P4/mbm (127)",
  "formation_energy_uncorrected_mev_per_atom": -893
}

---

2.
{
  "formula": "SrGaH2",
  "functional": "PBE",
  "state": "relaxed",
  "lattice": [[0.000, 3.124, 3.124], [3.124, 0.000, 3.124], [3.124, 3.124, 0.000]],
  "species": ["Sr", "Ga", "H", "H"],
  "fractional_positions": [[0.000, 0.000, 0.000], [0.500, 0.500, 0.500], [0.250, 0.250, 0.250], [0.750, 0.750, 0.750]],
  "dos_ef_per_ev_fu": 2.1,
  "final_energy_ev_per_atom": -2.848,
  "polymorph_energy_mev_per_atom": 22,
  "spacegroup": "Fm-3m (225)"
}

---

3.
{
  "formula": "LiMnN2",
  "functional": "PBE",
  "state": "relaxed",
  "lattice": [[5.355, 0.000, 0.000], [0.000, 6.463, 0.000], [0.000, 0.000, 5.102]],
  "species": ["Li", "Li", "Li", "Li", "Mn", "Mn", "Mn", "Mn", "N", "N", "N", "N", "N", "N", "N", "N"],
  "fractional_positions": [[0.084, 0.122, 0.000], [0.416, 0.622, 0.500], [0.584, 0.378, 0.000], [0.916, 0.878, 0.500], [0.072, 0.626, 0.010], [0.428, 0.126, 0.510], [0.572, 0.874, 0.010], [0.928, 0.374, 0.510], [0.047, 0.592, 0.351], [0.110, 0.156, 0.424], [0.390, 0.656, 0.924], [0.453, 0.092, 0.851], [0.547, 0.908, 0.351], [0.610, 0.344, 0.424], [0.890, 0.844, 0.924], [0.953, 0.408, 0.851]],
  "dos_ef_per_ev_fu": 2.1,
  "final_energy_ev_per_atom": -7.267,
  "polymorph_energy_mev_per_atom": 10,
  "spacegroup": "Pna2_1 (33)",
  "formation_energy_uncorrected_mev_per_atom": -334
}

---

4.
{
  "formula": "KLa2Au",
  "functional": "PBE",
  "state": "relaxed",
  "lattice": [[-4.556, 4.556, 3.543], [4.556, -4.556, 3.543], [4.556, 4.556, -3.543]],
  "species": ["K", "K", "La", "La", "La", "La", "Au", "Au"],
  "fractional_positions": [[0.000, 0.000, 0.000], [0.750, 0.250, 0.500], [0.186, 0.625, 0.061], [0.375, 0.436, 0.561], [0.564, 0.125, 0.939], [0.875, 0.814, 0.439], [0.250, 0.750, 0.500], [0.500, 0.500, 0.000]],
  "delta_e_f_mev_per_atom": 11,
  "dos_ef_per_ev_fu": 3.1,
  "final_energy_ev_per_atom": -3.547,
  "polymorph_energy_mev_per_atom": 222,
  "spacegroup": "I-42d (122)"
}